Here is crystalline DyPAu at its relaxed geometry from the Alexandria database. Energies are from GGA-PBE.

a b c (Å): 3.942 4.208 4.208
angles (deg): 120.00 90.00 90.00
Fractional coordinates of all 3 atoms:
P: 0.131 0.000 0.000
Dy: 0.670 0.333 0.667
Au: 0.198 0.667 0.333

Calculated values
For the density of states at the Fermi level, the calculation gives 1.47 states/eV/cell. The value obtained for the total magnetic moment is 0.0 μB per cell. As for the space group: No. 156. For the total DFT energy (no corrections), the calculation gives -5.34 eV/atom.


Here is crystalline Dy3P2Rh5Au2 at its relaxed geometry from the Alexandria database. Energies are from GGA-PBE.

a b c (Å): 4.020 4.020 13.518
angles (deg): 98.55 98.55 90.00
Fractional coordinates of all 12 atoms:
Dy: 0.000 0.000 0.000
Dy: 0.837 0.837 0.674
Dy: 0.163 0.163 0.326
Rh: 0.081 0.581 0.163
Rh: 0.919 0.419 0.837
Rh: 0.500 0.500 0.000
Rh: 0.419 0.919 0.837
Rh: 0.581 0.081 0.163
P: 0.625 0.625 0.250
P: 0.375 0.375 0.750
Au: 0.276 0.276 0.553
Au: 0.724 0.724 0.447

Calculated values
For the density of states at the Fermi level, the calculation gives 5.51 states/eV/cell. The value obtained for the total magnetic moment is 0.0 μB per cell. As for the space group: No. 139. For the total DFT energy (no corrections), the calculation gives -6.62 eV/atom.


Here is crystalline Dy3P2Rh9Au at its relaxed geometry from the Alexandria database. Energies are from GGA-PBE.

a b c (Å): 6.028 6.028 9.337
angles (deg): 90.00 90.00 120.00
Fractional coordinates of all 15 atoms:
Rh: 0.703 0.852 0.264
Rh: 0.500 0.000 0.000
Rh: 0.297 0.148 0.736
Rh: 0.000 0.500 0.000
Rh: 0.852 0.148 0.736
Rh: 0.148 0.852 0.264
Rh: 0.500 0.500 0.000
Rh: 0.852 0.703 0.736
Rh: 0.148 0.297 0.264
P: 0.667 0.333 0.840
P: 0.333 0.667 0.160
Dy: 0.000 0.000 0.000
Dy: 0.667 0.333 0.281
Dy: 0.333 0.667 0.719
Au: 0.000 0.000 0.500

Calculated values
For the density of states at the Fermi level, the calculation gives 14.46 states/eV/cell. The value obtained for the total magnetic moment is 0.0 μB per cell. As for the space group: No. 164. For the total DFT energy (no corrections), the calculation gives -6.81 eV/atom.


Here is crystalline Dy4Te2PAu at its relaxed geometry from the Alexandria database. Energies are from GGA-PBE.

a b c (Å): 4.133 7.373 7.445
angles (deg): 71.63 90.00 90.00
Fractional coordinates of all 8 atoms:
P: 0.000 0.500 0.500
Dy: 0.500 0.717 0.271
Dy: 0.000 0.279 0.249
Dy: 0.000 0.721 0.751
Dy: 0.500 0.283 0.729
Au: 0.500 0.500 0.000
Te: 0.500 0.000 0.500
Te: 0.000 0.000 0.000

Calculated values
For the density of states at the Fermi level, the calculation gives 4.71 states/eV/cell. For the formation energy without anion corrections, the calculation gives -1.27 eV/atom. The value obtained for the total magnetic moment is 0.0 μB per cell. As for the space group: No. 10. For the total DFT energy (no corrections), the calculation gives -5.44 eV/atom.